[1]
Crystalline SmGdSiPd at its relaxed geometry. Source: the Alexandria database, functional GGA-PBE.

Values from the calculation:
E_tot = -8.036 eV/atom
ΔE_f (raw) = -2.73 eV/f.u.
DOS at the Fermi energy = 3.11 states/eV/cell
SG = F-43m

```
SmGdSiPd
1.0
-4.126 -1.560 2.463
-1.143 -4.919 0.150
0.460 -2.570 4.325
Si Gd Pd Sm
1 1 1 1
Direct
0.750 0.750 0.750 Si
0.500 0.500 0.500 Gd
0.250 0.250 0.250 Pd
0.000 0.000 0.000 Sm
```


[2]
Crystalline Ba3TiW at its relaxed geometry. Source: the Alexandria database, functional GGA-PBE.

Values from the calculation:
E_tot = -3.802 eV/atom
ΔE to the lowest computed polymorph = 0 meV/atom
Formation energy = 7.6 eV per formula unit
DOS at the Fermi energy = 13.69 states/eV/cell
SG = Pm-3m

```
Ba3TiW
1.0
-2.578 3.064 -4.471
-0.092 -4.975 -3.356
-5.419 -1.373 2.184
Ba W Ti
3 1 1
Direct
0.000 0.500 0.000 Ba
0.000 0.000 0.500 Ba
0.500 0.000 0.000 Ba
0.000 0.000 0.000 W
0.500 0.500 0.500 Ti
```


[3]
Crystalline Hf3ZnCo4 at its relaxed geometry. Source: the Alexandria database, functional GGA-PBE.

Values from the calculation:
E_tot = -7.818 eV/atom
Formation energy = -3.0 eV per formula unit
DOS at the Fermi energy = 3.30 states/eV/cell
SG = R-3m

```
Hf3ZnCo4
1.0
-4.069 -0.910 -1.272
-2.217 -3.221 1.927
-4.638 3.256 5.036
Co Zn Hf
4 1 3
Direct
0.873 0.873 0.380 Co
0.378 0.378 0.866 Co
0.127 0.127 0.620 Co
0.622 0.622 0.134 Co
0.000 0.000 0.000 Zn
0.257 0.257 0.230 Hf
0.743 0.743 0.770 Hf
0.500 0.500 0.500 Hf
```


[4]
Crystalline La2Cu2Ag at its relaxed geometry. Source: the Alexandria database, functional GGA-PBE.

Values from the calculation:
E_tot = -4.394 eV/atom
ΔE to the lowest computed polymorph = 26 meV/atom
Formation energy = -1.1 eV per formula unit
DOS at the Fermi energy = 4.92 states/eV/cell
SG = P4/mbm

```
La2Cu2Ag
1.0
-2.708 5.350 4.902
-7.247 -1.738 -2.107
-0.181 -2.717 2.865
Cu Ag La
4 2 4
Direct
0.384 0.884 0.000 Cu
0.884 0.616 0.000 Cu
0.616 0.116 0.000 Cu
0.116 0.384 0.000 Cu
0.000 0.000 0.000 Ag
0.500 0.500 0.000 Ag
0.179 0.679 0.500 La
0.679 0.821 0.500 La
0.821 0.321 0.500 La
0.321 0.179 0.500 La
```


[5]
Crystalline AlAgN at its relaxed geometry. Source: the Alexandria database, functional GGA-PBE.

Values from the calculation:
E_tot = -5.370 eV/atom
ΔE to the lowest computed polymorph = 0 meV/atom
ΔE_f (raw) = -1.19 eV/f.u.
DOS at the Fermi energy = 0.47 states/eV/cell
SG = P-6m2

```
AlAgN
1.0
-1.820 2.203 1.178
-1.197 -2.741 -0.778
1.150 -2.145 5.789
Al Ag N
1 1 1
Direct
0.667 0.333 0.500 Al
0.000 0.000 0.000 Ag
0.333 0.667 0.500 N
```


[6]
Crystalline In2OsAu at its relaxed geometry. Source: the Alexandria database, functional GGA-PBE.

Values from the calculation:
E_tot = -4.666 eV/atom
Formation energy = 1.3 eV per formula unit
DOS at the Fermi energy = 2.60 states/eV/cell
SG = I4/mmm

```
In2OsAu
1.0
5.059 -0.004 -0.018
1.490 4.835 0.018
-3.264 -2.430 3.008
Au In Os
1 2 1
Direct
0.250 0.750 0.500 Au
0.000 0.000 0.000 In
0.500 0.500 0.000 In
0.750 0.250 0.500 Os
```


[7]
Crystalline BeReBi2F at its relaxed geometry. Source: the Alexandria database, functional GGA-PBE.

Values from the calculation:
E_tot = -5.011 eV/atom
ΔE_f (raw) = 0.75 eV/f.u.
DOS at the Fermi energy = 2.91 states/eV/cell
SG = P4/mmm

```
BeReBi2F
1.0
-0.573 -5.532 0.598
1.455 0.149 2.774
-4.921 0.784 2.540
Re Be Bi F
1 1 2 1
Direct
0.500 0.500 0.500 Re
0.000 0.000 0.000 Be
0.000 0.000 0.500 Bi
0.500 0.000 0.000 Bi
0.000 0.500 0.000 F
```


[8]
Crystalline Zr2CrHRh at its relaxed geometry. Source: the Alexandria database, functional GGA-PBE.

Values from the calculation:
E_tot = -7.726 eV/atom
ΔE to the lowest computed polymorph = 106 meV/atom
DOS at the Fermi energy = 5.22 states/eV/cell
SG = P4/mmm

```
Zr2CrHRh
1.0
4.562 0.000 0.000
0.000 4.562 0.000
0.000 0.000 3.554
Cr Rh Zr H
1 1 2 1
Direct
0.500 0.500 0.500 Cr
0.000 0.000 0.500 Rh
0.000 0.500 0.000 Zr
0.500 0.000 0.000 Zr
0.000 0.000 0.000 H
```


[9]
Crystalline AcInTeCl at its relaxed geometry. Source: the Alexandria database, functional GGA-PBE.

Values from the calculation:
E_tot = -4.026 eV/atom
ΔE_f (raw) = -4.27 eV/f.u.
DOS at the Fermi energy = 3.77 states/eV/cell
SG = F-43m

```
AcInTeCl
1.0
-2.810 4.456 1.875
-4.237 2.093 -2.988
-5.256 -0.572 1.821
Cl Ac Te In
1 1 1 1
Direct
0.250 0.250 0.250 Cl
0.500 0.500 0.500 Ac
0.750 0.750 0.750 Te
0.000 0.000 0.000 In
```


[10]
Crystalline AlHgI3 at its relaxed geometry. Source: the Alexandria database, functional GGA-PBE.

Values from the calculation:
E_tot = -2.230 eV/atom
ΔE to the lowest computed polymorph = 0 meV/atom
ΔE_f (raw) = -2.45 eV/f.u.
DOS at the Fermi energy = 0.00 states/eV/cell
SG = P2_1/m

```
AlHgI3
1.0
9.689 0.347 0.000
-3.012 6.656 0.000
0.000 0.000 8.290
Al Hg I
2 2 6
Direct
0.286 0.484 0.250 Al
0.714 0.516 0.750 Al
0.533 0.432 0.250 Hg
0.467 0.568 0.750 Hg
0.726 0.310 0.999 I
0.274 0.690 0.001 I
0.726 0.310 0.501 I
0.274 0.690 0.499 I
0.090 0.139 0.250 I
0.910 0.861 0.750 I
```


[11]
Crystalline Hf5Co2Pd at its relaxed geometry. Source: the Alexandria database, functional GGA-PBE.

Values from the calculation:
E_tot = -9.025 eV/atom
Formation energy = -3.0 eV per formula unit
DOS at the Fermi energy = 14.59 states/eV/cell
SG = I4/mcm

```
Hf5Co2Pd
1.0
6.514 0.000 -3.075
-1.451 6.349 -3.075
-0.417 -0.523 7.552
Hf Co Pd
10 4 2
Direct
0.514 0.704 0.718 Hf
0.796 0.986 0.282 Hf
0.000 0.000 0.000 Hf
0.500 0.500 0.000 Hf
0.204 0.014 0.718 Hf
0.704 0.204 0.718 Hf
0.014 0.514 0.718 Hf
0.296 0.796 0.282 Hf
0.986 0.486 0.282 Hf
0.486 0.296 0.282 Hf
0.131 0.368 0.000 Co
0.631 0.132 0.000 Co
0.368 0.868 0.000 Co
0.869 0.632 0.000 Co
0.750 0.750 0.500 Pd
0.250 0.250 0.500 Pd
```


[12]
Crystalline Nd2ScS2O2 at its relaxed geometry. Source: the Alexandria database, functional GGA-PBE.

Values from the calculation:
E_tot = -7.473 eV/atom
ΔE_f (raw) = -18.27 eV/f.u.
DOS at the Fermi energy = 1.82 states/eV/cell
SG = I4/mmm

```
Nd2ScS2O2
1.0
-2.820 1.914 -2.269
1.979 -1.120 -3.405
-3.576 -6.615 2.559
Nd Sc S O
2 1 2 2
Direct
0.370 0.370 0.740 Nd
0.630 0.630 0.260 Nd
0.000 0.000 0.000 Sc
0.176 0.176 0.351 S
0.824 0.824 0.649 S
0.000 0.500 0.000 O
0.500 0.000 0.000 O
```


[13]
Crystalline Ba2AlTc at its relaxed geometry. Source: the Alexandria database, functional GGA-PBE.

Values from the calculation:
E_tot = -3.745 eV/atom
Formation energy = 3.0 eV per formula unit
DOS at the Fermi energy = 5.53 states/eV/cell
SG = I4/mmm

```
Ba2AlTc
1.0
5.915 -0.049 0.000
1.447 5.735 0.000
-3.681 -2.843 3.655
Al Ba Tc
1 2 1
Direct
0.750 0.250 0.500 Al
0.000 0.000 0.000 Ba
0.500 0.500 0.000 Ba
0.250 0.750 0.500 Tc
```


[14]
Crystalline LiAsS2N at its relaxed geometry. Source: the Alexandria database, functional GGA-PBE.

Values from the calculation:
E_tot = -4.118 eV/atom
ΔE to the lowest computed polymorph = 0 meV/atom
ΔE_f (raw) = 2.55 eV/f.u.
DOS at the Fermi energy = 1.98 states/eV/cell
SG = P4/mmm

```
LiAsS2N
1.0
4.849 0.000 0.000
0.000 4.849 0.000
0.000 0.000 3.766
As Li S N
1 1 2 1
Direct
0.000 0.000 0.000 As
0.500 0.500 0.500 Li
0.000 0.500 0.000 S
0.500 0.000 0.000 S
0.000 0.000 0.500 N
```


[15]
Crystalline Nd2Ga4Rh5 at its relaxed geometry. Source: the Alexandria database, functional GGA-PBE.

Values from the calculation:
E_tot = -6.066 eV/atom
Formation energy = -8.3 eV per formula unit
DOS at the Fermi energy = 4.68 states/eV/cell
SG = Fmmm

```
Nd2Ga4Rh5
1.0
5.766 0.000 0.000
2.883 4.804 0.000
2.883 0.000 7.414
Nd Ga Rh
2 4 5
Direct
0.875 0.000 0.250 Nd
0.125 0.000 0.750 Nd
0.472 0.316 0.740 Ga
0.528 0.684 0.260 Ga
0.212 0.316 0.260 Ga
0.788 0.684 0.740 Ga
0.500 0.000 0.000 Rh
0.000 0.500 0.000 Rh
0.500 0.500 0.000 Rh
0.250 0.500 0.500 Rh
0.750 0.500 0.500 Rh
```


[16]
Crystalline AlTe3As at its relaxed geometry. Source: the Alexandria database, functional GGA-PBE.

Values from the calculation:
E_tot = -3.064 eV/atom
ΔE to the lowest computed polymorph = 0 meV/atom
ΔE_f (raw) = 2.50 eV/f.u.
DOS at the Fermi energy = 4.83 states/eV/cell
SG = Pm-3m

```
AlTe3As
1.0
-0.007 -1.144 5.353
-5.166 -1.767 -0.385
1.808 -5.052 -1.077
As Te Al
1 3 1
Direct
0.000 0.000 0.000 As
0.000 0.500 0.000 Te
0.000 0.000 0.500 Te
0.500 0.000 0.000 Te
0.500 0.500 0.500 Al
```


[17]
Crystalline MgSb2Cl at its relaxed geometry. Source: the Alexandria database, functional GGA-PBE.

Values from the calculation:
E_tot = -2.942 eV/atom
ΔE to the lowest computed polymorph = 514 meV/atom
ΔE_f (raw) = -0.08 eV/f.u.
DOS at the Fermi energy = 1.88 states/eV/cell
SG = Fm-3m

```
MgSb2Cl
1.0
0.000 3.653 3.653
3.653 0.000 3.653
3.653 3.653 0.000
Sb Mg Cl
2 1 1
Direct
0.250 0.250 0.250 Sb
0.750 0.750 0.750 Sb
0.000 0.000 0.000 Mg
0.500 0.500 0.500 Cl
```


[18]
Crystalline BaCuAgCl5 at its relaxed geometry. Source: the Alexandria database, functional GGA-PBE.

Values from the calculation:
E_tot = -3.489 eV/atom
ΔE_f (raw) = -9.81 eV/f.u.
DOS at the Fermi energy = 7.20 states/eV/cell
SG = C2/c

```
BaCuAgCl5
1.0
-5.122 -1.440 5.329
4.230 -5.978 -1.755
5.991 5.244 4.551
Ba Cu Ag Cl
2 2 2 10
Direct
0.329 0.671 0.250 Ba
0.671 0.329 0.750 Ba
0.658 0.342 0.250 Cu
0.342 0.658 0.750 Cu
0.000 0.000 0.500 Ag
0.000 0.000 0.000 Ag
0.079 0.921 0.250 Cl
0.921 0.079 0.750 Cl
0.864 0.323 0.100 Cl
0.136 0.677 0.900 Cl
0.677 0.136 0.400 Cl
0.323 0.864 0.600 Cl
0.711 0.626 0.436 Cl
0.289 0.374 0.564 Cl
0.374 0.289 0.064 Cl
0.626 0.711 0.936 Cl
```


[19]
Crystalline Pt2I6Br at its relaxed geometry. Source: the Alexandria database, functional GGA-PBE.

Values from the calculation:
E_tot = -2.591 eV/atom
ΔE_f (raw) = -0.26 eV/f.u.
DOS at the Fermi energy = 6.40 states/eV/cell
SG = C2/m

```
Pt2I6Br
1.0
4.077 0.000 0.000
-2.038 7.734 -1.332
0.000 0.481 11.150
Pt I Br
2 6 1
Direct
0.757 0.515 0.842 Pt
0.243 0.485 0.158 Pt
0.169 0.338 0.720 I
0.651 0.302 0.027 I
0.349 0.698 0.973 I
0.870 0.740 0.679 I
0.130 0.260 0.321 I
0.831 0.662 0.280 I
0.000 0.000 0.500 Br
```


[20]
Crystalline RbBaCeCl6 at its relaxed geometry. Source: the Alexandria database, functional GGA-PBE.

Values from the calculation:
E_tot = -4.461 eV/atom
ΔE_f (raw) = -20.24 eV/f.u.
DOS at the Fermi energy = 17.11 states/eV/cell
SG = P-31c

```
RbBaCeCl6
1.0
7.825 0.000 0.000
-3.912 6.776 0.000
0.000 0.000 12.803
Rb Ba Ce Cl
2 2 2 12
Direct
0.333 0.667 0.250 Rb
0.667 0.333 0.750 Rb
0.000 0.000 0.000 Ba
0.000 0.000 0.500 Ba
0.667 0.333 0.250 Ce
0.333 0.667 0.750 Ce
0.689 0.637 0.128 Cl
0.948 0.311 0.128 Cl
0.311 0.948 0.628 Cl
0.052 0.689 0.872 Cl
0.363 0.311 0.372 Cl
0.948 0.637 0.372 Cl
0.637 0.948 0.872 Cl
0.689 0.052 0.372 Cl
0.052 0.363 0.628 Cl
0.363 0.052 0.128 Cl
0.637 0.689 0.628 Cl
0.311 0.363 0.872 Cl
```